# 1
Here is CsNa3Cd4I12 after structural relaxation from Alexandria via LeMat-Bulk. Energies are from GGA-PBE.

The structure in POSCAR format:
```
CsNa3Cd4I12
1.0
10.5323 -0.1685 -0.2341
-2.7012 10.1814 -0.2341
-2.7012 -3.4538 9.5805
I Cd Cs Na
12 4 1 3
direct
0.2220 0.3333 0.9411
0.6629 0.5000 0.3371
0.0589 0.6667 0.7780
0.5000 0.1018 0.8982
0.9411 0.2220 0.3333
0.1018 0.8982 0.5000
0.5000 0.3371 0.6629
0.3333 0.9411 0.2220
0.6667 0.7780 0.0589
0.8982 0.5000 0.1018
0.3371 0.6629 0.5000
0.7780 0.0589 0.6667
0.5000 0.9378 0.0622
0.0622 0.5000 0.9378
0.5000 0.5000 0.5000
0.9378 0.0622 0.5000
0.0000 0.0000 0.0000
0.5531 0.4469 0.0000
0.0000 0.5531 0.4469
0.4469 0.0000 0.5531
```

Calculated values
Calculated density in g/cm3: 3.59
Energy relative to the elements, uncorrected in meV per atom: -828


# 2
Here is Cs3Na3CdI8 after structural relaxation from Alexandria via LeMat-Bulk. Energies are from GGA-PBE.

The structure in POSCAR format:
```
Cs3Na3CdI8
1.0
9.5924 0.0000 0.0000
-4.7962 8.3201 -0.0299
0.0000 -5.5200 8.8702
I Cs Na Cd
8 3 3 1
direct
0.7526 0.9716 0.6903
0.2190 0.9716 0.6903
0.2186 0.4373 0.6901
0.7342 0.4685 0.7022
0.2658 0.5315 0.2978
0.2474 0.0284 0.3097
0.7814 0.5627 0.3099
0.7810 0.0284 0.3097
0.0000 0.0000 0.0000
0.5000 0.5000 0.0000
0.0000 0.5000 0.0000
0.5000 0.0000 0.5000
0.5000 0.5000 0.5000
0.0000 0.5000 0.5000
0.0000 0.0000 0.5000
```

Calculated values
Calculated density in g/cm3: 3.75
Energy relative to the elements, uncorrected in meV per atom: -1209


# 3
Here is Cs2NdCdI6 after structural relaxation from Alexandria via LeMat-Bulk. Energies are from GGA-PBE.

The structure in POSCAR format:
```
Cs2NdCdI6
1.0
8.9594 0.0000 0.0000
0.0000 8.9400 0.0000
0.0000 0.0000 12.6300
Cs I Nd Cd
4 12 2 2
direct
0.0000 0.2449 0.7451
0.0000 0.2449 0.2549
0.5000 0.7551 0.7549
0.5000 0.7551 0.2451
0.7534 0.9945 0.5000
0.7466 0.0055 0.0000
0.2466 0.9945 0.5000
0.2534 0.0055 0.0000
0.2445 0.4998 0.5000
0.7445 0.5002 0.0000
0.5000 0.2477 0.7530
0.2555 0.5002 0.0000
0.7555 0.4998 0.5000
0.0000 0.7523 0.7470
0.5000 0.2477 0.2470
0.0000 0.7523 0.2530
0.0000 0.7478 0.5000
0.5000 0.2522 0.0000
0.0000 0.7511 0.0000
0.5000 0.2489 0.5000
```

Calculated values
Calculated density in g/cm3: 4.21
Energy relative to the elements, uncorrected in meV per atom: -1201